First-principles (PBE) data for MnCrSb2 after structural relaxation, as listed in Alexandria via LeMat-Bulk.

Computed properties:
E above lowest polymorph, kJ/mol of formula units: 116
E_tot, eV per atom: -6.4281
Energy relative to the elements, uncorrected, eV per atom: 0.331
Symmetry: Immm (71)

Cell: 4.9809 4.9809 4.9809 Å, 129.76 118.06 83.68°
Last column: nearest neighbours and their distance in Å.
Fractional positions:
Sb  0.5016  0.5016  0.0000  2 Mn 2.81, 2 Cr 2.82
Sb  0.9984  0.9984  0.0000  2 Mn 2.81, 2 Cr 2.82
Cr  0.2500  0.7500  0.5000  8 Sb 2.82-3.16
Mn  0.7500  0.2500  0.5000  4 Sb 2.81


First-principles (PBE) data for PmPr2Sm6Tm3 after structural relaxation, as listed in Alexandria via LeMat-Bulk.

Computed properties:
E_tot, eV per atom: -4.6494
Calculated formation energy, kJ per mole of atoms: 2.0
Symmetry: C2/m (12)

Cell: 6.2606 6.2606 11.9375 Å, 95.02 95.02 120.02°
Last column: nearest neighbours and their distance in Å.
Fractional positions:
Tm  0.1666  0.8334  0.5000  6 Sm 3.55, 6 Tm 3.61-3.62
Tm  0.5000  0.5000  0.5000  6 Sm 3.55, 6 Tm 3.61-3.62
Tm  0.8334  0.1666  0.5000  6 Sm 3.55, 6 Tm 3.61-3.62
Sm  0.5818  0.9148  0.7441  3 Tm 3.55, 6 Sm 3.61-3.62, 1 Pm 3.66, 2 Pr 3.66
Sm  0.7524  0.7524  0.2560  3 Tm 3.55, 6 Sm 3.61-3.62, 1 Pm 3.66, 2 Pr 3.66
Sm  0.4182  0.0852  0.2559  3 Tm 3.55, 6 Sm 3.61-3.62, 1 Pm 3.66, 2 Pr 3.66
Sm  0.9148  0.5818  0.7441  3 Tm 3.55, 6 Sm 3.61-3.62, 1 Pm 3.66, 2 Pr 3.66
Sm  0.0852  0.4182  0.2559  3 Tm 3.55, 6 Sm 3.61-3.62, 1 Pm 3.66, 2 Pr 3.66
Sm  0.2476  0.2476  0.7440  3 Tm 3.55, 6 Sm 3.61-3.62, 1 Pm 3.66, 2 Pr 3.66
Pr  0.6667  0.3333  0.0000  3 Pr 3.61-3.62, 3 Pm 3.61, 6 Sm 3.66
Pr  0.3333  0.6667  0.0000  3 Pr 3.61-3.62, 3 Pm 3.61, 6 Sm 3.66
Pm  0.0000  0.0000  0.0000  6 Pr 3.61, 6 Sm 3.66


First-principles (PBE) data for Th3BTe2 after structural relaxation, as listed in Alexandria via LeMat-Bulk.

Computed properties:
E_tot, eV per atom: -6.7080
Energy relative to the elements, uncorrected, eV per atom: -0.838
Symmetry: C2/m (12)

Cell: 7.3316 7.7696 7.3267 Å, 80.92 59.98 71.61°
Last column: nearest neighbours and their distance in Å.
Fractional positions:
Th  0.6965  0.8025  0.0000  2 B 2.76, 1 Te 3.08
Th  0.0683  0.7969  0.3698  2 B 2.75-2.76
Th  0.4381  0.7969  0.6302  2 B 2.75-2.76
Th  0.5619  0.2031  0.3698  2 B 2.75-2.76
Th  0.3035  0.1975  0.0000  2 B 2.76, 1 Te 3.08
Th  0.9317  0.2031  0.6302  2 B 2.75-2.76
Te  0.5000  0.5000  0.0000  6 Th 3.12-3.39
Te  0.0000  0.0000  0.0000  6 Th 3.08-3.10
Te  0.1545  0.5000  0.6910  6 Th 3.18-3.41
Te  0.8455  0.5000  0.3090  6 Th 3.18-3.41
B  0.3317  0.0000  0.3366  6 Th 2.75-2.76
B  0.6683  0.0000  0.6634  6 Th 2.75-2.76


First-principles (PBE) data for Ho4AlZn after structural relaxation, as listed in Alexandria via LeMat-Bulk.

Computed properties:
E above lowest polymorph, kJ/mol of formula units: 0
E_tot, eV per atom: -4.1161
Calculated formation energy, kJ per mole of atoms: -22.0
Symmetry: P4/mmm (123)

Cell: 3.5220 3.5220 12.5551 Å, 90.00 90.00 90.00°
Last column: nearest neighbours and their distance in Å.
Fractional positions:
Ho  0.0000  0.0000  0.6516  4 Al 3.13
Ho  0.0000  0.0000  0.3484  4 Al 3.13
Ho  0.5000  0.5000  0.8586  4 Zn 3.06
Ho  0.5000  0.5000  0.1414  4 Zn 3.06
Zn  0.0000  0.0000  0.0000  8 Ho 3.06
Al  0.5000  0.5000  0.5000  8 Ho 3.13


First-principles (PBE) data for Sr3GaHg after structural relaxation, as listed in Alexandria via LeMat-Bulk.

Computed properties:
E above lowest polymorph, kJ/mol of formula units: 32
E_tot, eV per atom: -1.9889
Calculated formation energy, kJ per mole of atoms: -30.3
Symmetry: C2/c (15)

Cell: 9.7954 8.6344 8.6344 Å, 92.58 89.25 89.25°
Last column: nearest neighbours and their distance in Å.
Fractional positions:
Sr  0.9238  0.9318  0.1819  3 Ga 3.26-3.61, 3 Hg 3.52-3.63
Sr  0.8216  0.4228  0.0659  2 Ga 3.14-3.18, 3 Hg 3.39-3.49
Sr  0.1784  0.5772  0.9341  2 Ga 3.14-3.18, 3 Hg 3.39-3.49
Sr  0.6784  0.9341  0.5772  2 Ga 3.14-3.18, 3 Hg 3.39-3.49
Sr  0.9173  0.3093  0.5036  2 Ga 3.42-3.48, 2 Hg 3.56-3.60, 1 Sr 3.69
Sr  0.4173  0.5036  0.3093  2 Ga 3.42-3.48, 2 Hg 3.56-3.60, 1 Sr 3.69
Sr  0.0762  0.0682  0.8181  3 Ga 3.26-3.61, 3 Hg 3.52-3.63
Sr  0.4238  0.1819  0.9318  3 Ga 3.26-3.61, 3 Hg 3.52-3.63
Sr  0.0827  0.6907  0.4964  2 Ga 3.42-3.48, 2 Hg 3.56-3.60, 1 Sr 3.69
Sr  0.5827  0.4964  0.6907  2 Ga 3.42-3.48, 2 Hg 3.56-3.60, 1 Sr 3.69
Sr  0.3216  0.0659  0.4228  2 Ga 3.14-3.18, 3 Hg 3.39-3.49
Sr  0.5762  0.8181  0.0682  3 Ga 3.26-3.61, 3 Hg 3.52-3.63
Hg  0.8631  0.7286  0.8278  8 Sr 3.39-3.63, 1 Ga 3.47
Hg  0.1369  0.2714  0.1722  8 Sr 3.39-3.63, 1 Ga 3.47
Hg  0.6369  0.1722  0.2714  8 Sr 3.39-3.63, 1 Ga 3.47
Hg  0.3631  0.8278  0.7286  8 Sr 3.39-3.63, 1 Ga 3.47
Ga  0.7500  0.1087  0.8913  6 Sr 3.14-3.45, 2 Hg 3.47
Ga  0.2500  0.8913  0.1087  6 Sr 3.14-3.45, 2 Hg 3.47
Ga  0.7500  0.6266  0.3734  6 Sr 3.18-3.48
Ga  0.2500  0.3734  0.6266  6 Sr 3.18-3.48


First-principles (PBE) data for LiCa4Pd3O8 after structural relaxation, as listed in Alexandria via LeMat-Bulk.

Computed properties:
E_tot, eV per atom: -5.8466
Energy relative to the elements, uncorrected, eV per atom: -1.774
Symmetry: C2/m (12)

Cell: 6.2426 6.0608 7.2714 Å, 117.51 115.42 90.00°
Last column: nearest neighbours and their distance in Å.
Fractional positions:
O  0.7225  0.2534  0.4450  2 Pd 2.06
O  0.7031  0.2363  0.9197  1 Pd 2.07, 1 Li 2.13
O  0.7890  0.7570  0.5779  2 Pd 2.08
O  0.2110  0.2430  0.4221  2 Pd 2.08
O  0.2969  0.7637  0.0803  1 Pd 2.07, 1 Li 2.13
O  0.7834  0.7637  0.0803  1 Pd 2.07, 1 Li 2.13
O  0.2775  0.7466  0.5550  2 Pd 2.06
O  0.2166  0.2363  0.9197  1 Pd 2.07, 1 Li 2.13
Ca  0.5000  0.0000  0.0000  6 O 2.33-2.51
Ca  0.5000  0.0000  0.5000  6 O 2.34-2.37
Ca  0.0000  0.0000  0.0000  6 O 2.38
Ca  0.0000  0.0000  0.5000  6 O 2.34-2.37
Li  0.0000  0.5000  0.0000  4 O 2.13
Pd  0.5000  0.5000  0.5000  4 O 2.06-2.08
Pd  0.5000  0.5000  0.0000  4 O 2.07
Pd  0.0000  0.5000  0.5000  4 O 2.06-2.08


Repeat the fourth record exactly.
First-principles (PBE) data for Ho4AlZn after structural relaxation, as listed in Alexandria via LeMat-Bulk.

Computed properties:
E above lowest polymorph, kJ/mol of formula units: 0
E_tot, eV per atom: -4.1161
Calculated formation energy, kJ per mole of atoms: -22.0
Symmetry: P4/mmm (123)

Cell: 3.5220 3.5220 12.5551 Å, 90.00 90.00 90.00°
Last column: nearest neighbours and their distance in Å.
Fractional positions:
Ho  0.0000  0.0000  0.6516  4 Al 3.13
Ho  0.0000  0.0000  0.3484  4 Al 3.13
Ho  0.5000  0.5000  0.8586  4 Zn 3.06
Ho  0.5000  0.5000  0.1414  4 Zn 3.06
Zn  0.0000  0.0000  0.0000  8 Ho 3.06
Al  0.5000  0.5000  0.5000  8 Ho 3.13


Copy entry 6 word for word.
First-principles (PBE) data for LiCa4Pd3O8 after structural relaxation, as listed in Alexandria via LeMat-Bulk.

Computed properties:
E_tot, eV per atom: -5.8466
Energy relative to the elements, uncorrected, eV per atom: -1.774
Symmetry: C2/m (12)

Cell: 6.2426 6.0608 7.2714 Å, 117.51 115.42 90.00°
Last column: nearest neighbours and their distance in Å.
Fractional positions:
O  0.7225  0.2534  0.4450  2 Pd 2.06
O  0.7031  0.2363  0.9197  1 Pd 2.07, 1 Li 2.13
O  0.7890  0.7570  0.5779  2 Pd 2.08
O  0.2110  0.2430  0.4221  2 Pd 2.08
O  0.2969  0.7637  0.0803  1 Pd 2.07, 1 Li 2.13
O  0.7834  0.7637  0.0803  1 Pd 2.07, 1 Li 2.13
O  0.2775  0.7466  0.5550  2 Pd 2.06
O  0.2166  0.2363  0.9197  1 Pd 2.07, 1 Li 2.13
Ca  0.5000  0.0000  0.0000  6 O 2.33-2.51
Ca  0.5000  0.0000  0.5000  6 O 2.34-2.37
Ca  0.0000  0.0000  0.0000  6 O 2.38
Ca  0.0000  0.0000  0.5000  6 O 2.34-2.37
Li  0.0000  0.5000  0.0000  4 O 2.13
Pd  0.5000  0.5000  0.5000  4 O 2.06-2.08
Pd  0.5000  0.5000  0.0000  4 O 2.07
Pd  0.0000  0.5000  0.5000  4 O 2.06-2.08


Q: Among the records above, which one has the lowest E_tot?
A: Th3BTe2